(1)
# Y3ErTm6Th2

Crystalline Y3ErTm6Th2 at its relaxed geometry (PBE, the Alexandria database).

**E_tot**: -65.3 eV per cell
**Energy of formation from the pure elements**: 2.4 kJ/mol of atoms
**SG**: C2/m, No. 12

Cell: 6.116 6.116 11.669 Å, 95.02 95.02 119.96°
Positions (direct):
Y (0.000, 0.000, 0.000)
Y (0.334, 0.666, 0.000)
Y (0.666, 0.334, 0.000)
Er (0.500, 0.500, 0.500)
Tm (0.081, 0.418, 0.253)
Tm (0.246, 0.246, 0.747)
Tm (0.418, 0.081, 0.253)
Tm (0.582, 0.919, 0.747)
Tm (0.754, 0.754, 0.253)
Tm (0.919, 0.582, 0.747)
Th (0.167, 0.833, 0.500)
Th (0.833, 0.167, 0.500)

=====

(2)
# Nd12Y5Mg2

Crystalline Nd12Y5Mg2 at its relaxed geometry (PBE, the Alexandria database).

**E_tot**: -91.1 eV per cell
**Energy of formation from the pure elements**: 8.0 kJ/mol of atoms
**SG**: C2/m, No. 12

Cell: 9.195 9.195 8.700 Å, 92.48 92.48 60.02°
Positions (direct):
Nd (0.058, 0.058, 0.342)
Nd (0.068, 0.677, 0.318)
Nd (0.167, 0.537, 0.764)
Nd (0.323, 0.932, 0.682)
Nd (0.420, 0.420, 0.117)
Nd (0.463, 0.833, 0.236)
Nd (0.537, 0.167, 0.764)
Nd (0.580, 0.580, 0.883)
Nd (0.677, 0.068, 0.318)
Nd (0.833, 0.463, 0.236)
Nd (0.932, 0.323, 0.682)
Nd (0.942, 0.942, 0.658)
Y (0.203, 0.203, 0.027)
Y (0.268, 0.268, 0.430)
Y (0.500, 0.500, 0.500)
Y (0.732, 0.732, 0.570)
Y (0.797, 0.797, 0.973)
Mg (0.163, 0.837, 0.000)
Mg (0.837, 0.163, 0.000)

=====

(3)
# Sm2Dy3Y8

Crystalline Sm2Dy3Y8 at its relaxed geometry (PBE, the Alexandria database).

**E_tot**: -71.8 eV per cell
**Energy of formation from the pure elements**: 23.5 kJ/mol of atoms
**SG**: C2/m, No. 12

Cell: 10.948 10.948 5.624 Å, 90.02 90.02 40.77°
Positions (direct):
Sm (0.241, 0.241, 0.499)
Sm (0.759, 0.759, 0.501)
Dy (0.000, 0.000, 0.500)
Dy (0.285, 0.715, 0.000)
Dy (0.715, 0.285, 0.000)
Y (0.132, 0.132, 0.000)
Y (0.181, 0.606, 0.500)
Y (0.334, 0.334, 0.000)
Y (0.394, 0.819, 0.500)
Y (0.606, 0.181, 0.500)
Y (0.666, 0.666, 0.000)
Y (0.819, 0.394, 0.500)
Y (0.868, 0.868, 0.000)

=====

(4)
# CoPIr2

Crystalline CoPIr2 at its relaxed geometry (PBE, the Alexandria database).

**E_tot**: -30.2 eV per cell
**Energy of formation from the pure elements**: 0.8 kJ/mol of atoms
**SG**: R-3m, No. 166

Cell: 8.011 8.011 8.011 Å, 20.20 20.20 20.20°
Positions (direct):
Co (0.000, 0.000, 0.000)
P (0.500, 0.500, 0.500)
Ir (0.244, 0.244, 0.244)
Ir (0.756, 0.756, 0.756)

=====

(5)
# NaTb4Cd5

Crystalline NaTb4Cd5 at its relaxed geometry (PBE, the Alexandria database).

**E_tot**: -27.0 eV per cell
**Energy of formation from the pure elements**: -25.3 kJ/mol of atoms
**SG**: P4/mmm, No. 123

Cell: 3.730 3.730 19.077 Å, 90.00 90.00 90.00°
Positions (direct):
Na (0.000, 0.000, 0.000)
Tb (0.000, 0.000, 0.202)
Tb (0.000, 0.000, 0.401)
Tb (0.000, 0.000, 0.599)
Tb (0.000, 0.000, 0.798)
Cd (0.500, 0.500, 0.104)
Cd (0.500, 0.500, 0.302)
Cd (0.500, 0.500, 0.500)
Cd (0.500, 0.500, 0.698)
Cd (0.500, 0.500, 0.896)

=====

(6)
# TiVI4

Crystalline TiVI4 at its relaxed geometry (PBE, the Alexandria database).

**E_tot**: -26.4 eV per cell
**SG**: P2/m, No. 10
**Formation energy without anion corrections**: -3.22 eV per formula unit

Cell: 7.247 4.063 7.376 Å, 90.00 90.93 90.00°
Positions (direct):
Ti (0.000, 0.000, 0.000)
V (0.500, 0.500, 0.000)
I (0.170, 0.500, 0.780)
I (0.338, 0.000, 0.214)
I (0.662, 0.000, 0.786)
I (0.830, 0.500, 0.220)

=====

(7)
# CaCu3Ge

Crystalline CaCu3Ge at its relaxed geometry (PBE, the Alexandria database).

**E_tot**: -39.8 eV per cell
**Energy of formation from the pure elements**: -19.4 kJ/mol of atoms
**SG**: P2_1/m, No. 11

Cell: 5.758 5.737 5.836 Å, 90.00 116.42 90.00°
Positions (direct):
Ca (0.235, 0.250, 0.270)
Ca (0.765, 0.750, 0.730)
Cu (0.102, 0.750, 0.398)
Cu (0.288, 0.503, 0.788)
Cu (0.288, 0.997, 0.788)
Cu (0.712, 0.003, 0.212)
Cu (0.712, 0.497, 0.212)
Cu (0.898, 0.250, 0.602)
Ge (0.346, 0.750, 0.154)
Ge (0.654, 0.250, 0.846)

=====

(8)
# In2Rh2Au

Crystalline In2Rh2Au at its relaxed geometry (PBE, the Alexandria database).

**E_tot**: -22.6 eV per cell
**Energy of formation from the pure elements**: 17.1 kJ/mol of atoms
**SG**: I4/mmm, No. 139

Cell: 6.545 6.545 6.545 Å, 143.02 143.02 53.29°
Positions (direct):
In (0.250, 0.750, 0.500)
In (0.750, 0.250, 0.500)
Rh (0.106, 0.106, 0.000)
Rh (0.894, 0.894, 0.000)
Au (0.500, 0.500, 0.000)

=====

(9)
# Er4ZnCo

Crystalline Er4ZnCo at its relaxed geometry (PBE, the Alexandria database).

**E_tot**: -26.9 eV per cell
**Energy of formation from the pure elements**: -4.3 kJ/mol of atoms
**SG**: Pm, No. 6

Cell: 5.157 4.503 6.846 Å, 90.00 100.22 90.00°
Positions (direct):
Er (0.000, 0.000, 0.000)
Er (0.128, 0.000, 0.542)
Er (0.498, 0.500, 0.004)
Er (0.630, 0.500, 0.547)
Zn (0.064, 0.500, 0.272)
Co (0.561, 0.000, 0.775)

=====

(10)
# PmTmZn6

Crystalline PmTmZn6 at its relaxed geometry (PBE, the Alexandria database).

**E_tot**: -19.3 eV per cell
**Energy of formation from the pure elements**: -28.9 kJ/mol of atoms
**SG**: Amm2, No. 38

Cell: 4.407 6.194 6.194 Å, 64.49 90.00 90.00°
Positions (direct):
Pm (0.000, 0.000, 0.000)
Tm (0.500, 0.295, 0.295)
Zn (0.000, 0.485, 0.485)
Zn (0.000, 0.525, 0.939)
Zn (0.000, 0.939, 0.525)
Zn (0.500, 0.362, 0.765)
Zn (0.500, 0.765, 0.362)
Zn (0.500, 0.802, 0.802)

=====

(11)
# Ce14PuAl

Crystalline Ce14PuAl at its relaxed geometry (PBE, the Alexandria database).

**E_tot**: -101.6 eV per cell
**Energy of formation from the pure elements**: -2.9 kJ/mol of atoms
**SG**: Amm2, No. 38

Cell: 9.368 6.598 6.598 Å, 89.99 90.00 90.00°
Positions (direct):
Ce (0.000, 0.000, 0.000)
Ce (0.000, 0.000, 0.499)
Ce (0.000, 0.499, 0.000)
Ce (0.000, 0.499, 0.499)
Ce (0.256, 0.741, 0.741)
Ce (0.257, 0.257, 0.741)
Ce (0.257, 0.258, 0.258)
Ce (0.257, 0.741, 0.257)
Ce (0.500, 0.000, 0.500)
Ce (0.500, 0.500, 0.000)
Ce (0.743, 0.257, 0.741)
Ce (0.743, 0.258, 0.258)
Ce (0.743, 0.741, 0.257)
Ce (0.744, 0.741, 0.741)
Pu (0.500, 0.999, 0.999)
Al (0.500, 0.500, 0.500)

=====

(12)
# CeDyCd6

Crystalline CeDyCd6 at its relaxed geometry (PBE, the Alexandria database).

**E_tot**: -17.9 eV per cell
**Energy of formation from the pure elements**: -22.1 kJ/mol of atoms
**SG**: Amm2, No. 38

Cell: 4.926 6.615 6.615 Å, 65.15 90.00 90.00°
Positions (direct):
Ce (0.000, 0.000, 0.000)
Dy (0.500, 0.282, 0.282)
Cd (0.000, 0.468, 0.468)
Cd (0.000, 0.515, 0.951)
Cd (0.000, 0.951, 0.515)
Cd (0.500, 0.333, 0.766)
Cd (0.500, 0.766, 0.333)
Cd (0.500, 0.812, 0.812)